Compound: Y2Mn16Fe
Source: Alexandria
Functional: PBE-GGA
Structure: relaxed

Properties
**Space group**: R3m, No. 160
**DFT total energy**: -8.84 eV/atom

Unit cell a=6.316 b=6.316 c=6.316 alpha=86.29 beta=86.29 gamma=86.29
Site moments in Bohr magnetons follow the coordinates.
Element x y z (fractional)
Mn 0.877 0.355 0.355  2.32
Mn 0.999 0.275 0.724  -1.02
Mn 0.645 0.125 0.645  2.35
Mn 0.999 0.999 0.502  0.16
Mn 0.724 0.275 0.999  -1.02
Mn 0.355 0.355 0.877  2.32
Mn 0.101 0.101 0.101  -2.41
Mn 0.999 0.724 0.275  -1.02
Mn 0.724 0.999 0.275  -1.02
Mn 0.502 0.999 0.999  0.16
Mn 0.275 0.999 0.724  -1.02
Mn 0.275 0.724 0.999  -1.02
Mn 0.355 0.877 0.355  2.32
Mn 0.999 0.502 0.999  0.16
Mn 0.125 0.645 0.645  2.35
Mn 0.645 0.645 0.125  2.35
Fe 0.900 0.900 0.900  -1.85
Y 0.356 0.356 0.356  -0.09
Y 0.646 0.646 0.646  -0.09